Entry 1:
! TiGaH (GGA-PBE, relaxed); values from VASP
&SYSTEM
  ibrav = 0, nat = 3, ntyp = 3
/
ATOMIC_SPECIES
Ti 47.87 Ti.upf
Ga 69.72 Ga.upf
H 1.01 H.upf
CELL_PARAMETERS angstrom
3.099 0.000 0.000
-1.550 2.684 0.000
0.000 0.000 4.330
ATOMIC_POSITIONS crystal
Ti 0.000 0.000 0.000
Ga 0.667 0.333 0.496
H 0.333 0.667 0.960
! electronic total energy	-5.18	eV/atom
! calculated density	5468	kg/m3
! space-group type	P3m1, No. 156

***

Entry 2:
! Ti4AlRh5 (GGA-PBE, relaxed); values from VASP
&SYSTEM
  ibrav = 0, nat = 10, ntyp = 3
/
ATOMIC_SPECIES
Ti 47.87 Ti.upf
Al 26.98 Al.upf
Rh 102.91 Rh.upf
CELL_PARAMETERS angstrom
2.941 0.000 0.000
0.000 2.941 0.000
0.000 0.000 17.029
ATOMIC_POSITIONS crystal
Ti 0.000 0.000 0.103
Ti 0.000 0.000 0.307
Ti 0.000 0.000 0.693
Ti 0.000 0.000 0.897
Al 0.000 0.000 0.500
Rh 0.500 0.500 0.000
Rh 0.500 0.500 0.206
Rh 0.500 0.500 0.406
Rh 0.500 0.500 0.594
Rh 0.500 0.500 0.794
! calculated density	8262	kg/m3
! space-group type	P4/mmm, No. 123
! formation enthalpy at 0 K	-811	meV per atom